No. 1
5
Lattice="4.987 0.000 0.000 0.000 4.987 0.000 0.000 0.000 5.370" Properties=species:S:1:pos:R:3 comment="BaSrHgO2, relaxed, DFT PBE" e_form_raw_ev_per_atom=0.018 total_magnetization_mub_per_fu=0.52 dos_ef_per_ev_atom=0.6360 pbc="T T T"
Ba 0.000 0.000 0.000
Sr 2.494 2.494 0.000
Hg 2.494 2.494 2.685
O 0.000 2.494 2.685
O 2.494 0.000 2.685

No. 2
11
Lattice="4.602 0.000 0.000 0.000 4.602 0.000 0.000 0.000 12.373" Properties=species:S:1:pos:R:3 comment="Np2FeSn8, relaxed, DFT PBE" delta_e_f_mev_per_atom=-63 total_magnetization_mub_per_fu=7.27 dos_ef_per_ev_atom=2.2538 pbc="T T T"
Np 0.000 0.000 2.370
Np 0.000 0.000 10.003
Fe 0.000 0.000 6.187
Sn 0.000 2.301 0.000
Sn 0.000 2.301 4.704
Sn 0.000 2.301 7.670
Sn 2.301 0.000 0.000
Sn 2.301 0.000 4.704
Sn 2.301 0.000 7.670
Sn 2.301 2.301 2.351
Sn 2.301 2.301 10.023

No. 3
12
Lattice="3.150 -5.457 0.000 3.150 5.457 0.000 -2.097 0.000 5.939" Properties=species:S:1:pos:R:3 comment="LaPm5N6, relaxed, DFT PBE" e_form_raw_ev_per_atom=-1.412 total_magnetization_mub_per_fu=0.00 dos_ef_per_ev_atom=0.0689 pbc="T T T"
La 0.000 0.000 0.000
Pm 2.102 3.627 2.969
Pm 3.150 1.816 0.000
Pm 2.102 0.000 2.969
Pm 3.150 -1.816 0.000
Pm 2.102 -3.627 2.969
N 1.066 1.843 1.499
N 0.031 0.000 4.446
N 1.066 -1.843 1.499
N 3.137 1.843 4.440
N 4.172 0.000 1.493
N 3.137 -1.843 4.440

No. 4
20
Lattice="4.694 -7.848 0.000 4.694 7.848 0.000 -1.127 0.000 9.857" Properties=species:S:1:pos:R:3 comment="AcPm2Nd6Sm, relaxed, DFT PBE" delta_e_f_mev_per_atom=115 total_magnetization_mub_per_fu=0.00 dos_ef_per_ev_atom=1.4964 pbc="T T T"
Ac 3.849 7.467 7.393
Ac 4.412 -7.467 2.464
Pm 1.755 0.888 5.373
Pm 2.319 -0.888 0.445
Pm 5.942 0.888 9.412
Pm 6.505 -0.888 4.484
Nd 1.951 4.264 6.752
Nd 4.028 4.888 0.536
Nd 4.796 4.888 4.392
Nd 2.738 1.644 8.693
Nd 5.747 4.264 8.034
Nd 4.960 1.644 6.093
Nd 3.301 -1.644 3.764
Nd 2.514 -4.264 1.823
Nd 5.523 -1.644 1.164
Nd 3.465 -4.888 5.465
Nd 4.233 -4.888 9.321
Nd 6.310 -4.264 3.105
Sm 4.412 1.428 2.464
Sm 3.849 -1.428 7.393

No. 5
6
Lattice="4.330 0.000 0.000 -2.165 3.750 0.000 0.000 0.000 11.656" Properties=species:S:1:pos:R:3 comment="TbPrGe, relaxed, DFT PBE" delta_e_f_mev_per_atom=-387 de_polymorph_mev_per_atom=139 total_magnetization_mub_per_fu=0.76 dos_ef_per_ev_atom=0.8410 pbc="T T T"
Tb 0.000 0.000 0.000
Tb 0.000 2.500 5.828
Pr 2.165 1.250 2.670
Pr 2.165 1.250 8.986
Ge 0.000 0.000 4.210
Ge 0.000 0.000 7.446

No. 6
16
Lattice="4.838 0.000 0.000 0.000 4.838 0.000 0.000 0.000 16.965" Properties=species:S:1:pos:R:3 comment="InCoSn2, relaxed, DFT PBE" delta_e_f_mev_per_atom=336 total_magnetization_mub_per_fu=1.27 dos_ef_per_ev_atom=1.1683 pbc="T T T"
In 0.000 0.000 0.000
In 0.000 2.419 4.241
In 2.419 0.000 12.723
In 2.419 2.419 8.482
Co 0.000 0.000 8.482
Co 0.000 2.419 12.723
Co 2.419 0.000 4.241
Co 2.419 2.419 0.000
Sn 0.872 1.209 10.603
Sn 1.209 3.291 14.844
Sn 1.209 3.966 6.362
Sn 1.547 1.209 2.121
Sn 3.291 3.628 2.121
Sn 3.628 0.872 6.362
Sn 3.628 1.547 14.844
Sn 3.966 3.628 10.603